(1)
{"formula": "Ac4Te2RhCl", "functional": "PBE-GGA", "state": "relaxed", "e_form_raw_ev_per_atom": -1.293, "total_energy_ev_per_cell": -42.3, "cell": [[-3.2679, -2.2179, 1.9858], [-1.9121, -3.3594, -6.8986], [5.5637, -4.8087, 3.7851]], "species": ["Ac", "Ac", "Ac", "Ac", "Te", "Te", "Rh", "Cl"], "fractional_positions": [[0.5000, 0.2540, 0.2284], [0.5000, 0.7460, 0.7716], [0.0000, 0.2841, 0.7876], [0.0000, 0.7159, 0.2124], [0.5000, 0.0000, 0.5000], [0.0000, 0.5000, 0.5000], [0.5000, 0.5000, 0.0000], [0.0000, 0.0000, 0.0000]]}


(2)
{"formula": "Ac4TeRhCl2", "functional": "PBE-GGA", "state": "relaxed", "e_form_raw_ev_per_atom": -1.294, "total_energy_ev_per_cell": -41.0, "cell": [[-0.3211, 3.0712, -3.0555], [-5.9581, 3.9358, 4.5823], [6.8320, 2.7263, 2.0223]], "species": ["Ac", "Ac", "Ac", "Ac", "Te", "Rh", "Cl", "Cl"], "fractional_positions": [[0.5000, 0.2800, 0.2521], [0.5000, 0.7200, 0.7479], [0.0000, 0.2900, 0.7808], [0.0000, 0.7100, 0.2192], [0.0000, 0.0000, 0.0000], [0.5000, 0.5000, 0.0000], [0.5000, 0.0000, 0.5000], [0.0000, 0.5000, 0.5000]]}


(3)
{"formula": "Ac8TeRh3Cl4", "functional": "PBE-GGA", "state": "relaxed", "e_form_raw_ev_per_atom": -1.225, "total_energy_ev_per_cell": -85.0, "cell": [[-4.2794, 6.6873, -4.1964], [1.9625, -3.9049, -8.2242], [-4.2875, -4.8831, 6.1994]], "species": ["Ac", "Ac", "Ac", "Ac", "Ac", "Ac", "Ac", "Ac", "Te", "Rh", "Rh", "Rh", "Cl", "Cl", "Cl", "Cl"], "fractional_positions": [[0.2521, 0.7142, 0.9618], [0.2523, 0.7141, 0.5045], [0.2651, 0.2951, 0.5303], [0.7097, 0.7142, 0.9618], [0.2903, 0.2858, 0.0382], [0.7349, 0.7049, 0.4697], [0.7477, 0.2859, 0.4955], [0.7479, 0.2858, 0.0382], [0.0000, 0.5000, 0.0000], [0.5000, 0.5000, 0.0000], [0.5000, 0.5000, 0.5000], [0.0000, 0.5000, 0.5000], [0.5000, 0.0000, 0.0000], [0.5000, 0.0000, 0.5000], [0.0000, 0.0000, 0.0000], [0.0000, 0.0000, 0.5000]]}


(4)
{"formula": "AcThRhCl", "functional": "PBE-GGA", "state": "relaxed", "e_form_raw_ev_per_atom": -1.114, "total_energy_ev_per_cell": -25.2, "cell": [[-0.7814, -2.4030, 3.3721], [0.9042, -1.7954, -3.7011], [7.9565, 2.2709, 0.8341]], "species": ["Ac", "Th", "Rh", "Cl"], "fractional_positions": [[0.5011, 0.1486, 0.6646], [0.0974, 0.9461, 0.0605], [0.3182, 0.5568, 0.8909], [0.9612, 0.3793, 0.3537]]}


(5)
{"formula": "Ac4RuCl5", "functional": "PBE-GGA", "state": "relaxed", "e_form_raw_ev_per_atom": -1.645, "total_energy_ev_per_cell": -51.4, "cell": [[-1.5500, -3.2415, -2.3009], [1.3702, -5.6202, 6.9947], [-8.2532, 3.8346, 4.1133]], "species": ["Ac", "Ac", "Ac", "Ac", "Ru", "Cl", "Cl", "Cl", "Cl", "Cl"], "fractional_positions": [[0.3483, 0.9993, 0.6967], [0.9953, 0.7743, 0.9907], [0.6517, 0.0007, 0.3033], [0.0047, 0.2257, 0.0093], [0.5000, 0.0000, 0.0000], [0.8380, 0.7633, 0.6760], [0.8474, 0.2346, 0.6948], [0.1526, 0.7654, 0.3052], [0.5000, 0.5000, 0.0000], [0.1620, 0.2367, 0.3240]]}


(6)
{"formula": "Ac8Ru3Cl", "functional": "PBE-GGA", "state": "relaxed", "e_form_raw_ev_per_atom": -0.396, "total_energy_ev_per_cell": -67.3, "cell": [[-3.6198, -0.3769, -7.9947], [5.5039, -6.3197, 2.6316], [-7.6405, 0.8762, 3.4181]], "species": ["Ac", "Ac", "Ac", "Ac", "Ac", "Ac", "Ac", "Ac", "Ru", "Ru", "Ru", "Cl"], "fractional_positions": [[0.2547, 0.5094, 0.7638], [0.7453, 0.4906, 0.2362], [0.2761, 0.0164, 0.7570], [0.7403, 0.0164, 0.7570], [0.7403, 0.4806, 0.7575], [0.2597, 0.5194, 0.2425], [0.2597, 0.9836, 0.2430], [0.7239, 0.9836, 0.2430], [0.5000, 0.0000, 0.0000], [0.5000, 0.5000, 0.0000], [0.0000, 0.5000, 0.0000], [0.0000, 0.0000, 0.0000]]}